# HgC2Br2

HgC2Br2 after structural relaxation (PBE, the Alexandria database).

```
data_HgC2Br2
_cell_length_a 10.236
_cell_length_b 10.236
_cell_length_c 3.047
_cell_angle_alpha 90.00
_cell_angle_beta 90.00
_cell_angle_gamma 90.00
_space_group_name_H-M_alt 'P 4/m b m'
_space_group_IT_number 127
_space_group_name_Hall '-P 4 2ab'
loop_
_atom_site_label
_atom_site_type_symbol
_atom_site_fract_x
_atom_site_fract_y
_atom_site_fract_z
Hg1 Hg 0.000 0.000 0.000
C1 C 0.242 0.258 0.500
Br1 Br 0.146 0.354 0.000
```

Output
N(E_F) = 0.154 states/eV per atom
Raw total energy = -24.48 eV for the cell shown
Formation energy from raw total energies = 190.2 kJ per mole of atoms
Distance to the lowest polymorph of the same formula = 1200 meV/atom